1.
SrTcIr2 PBE-GGA optimized geometry; space-group type = F-43m (216); magnetization = 0.000 μB/f.u.; energy = -6.667 eV per atom
1.0
0.000 3.277 3.277
3.277 0.000 3.277
3.277 3.277 0.000
Ir Sr Tc
2 1 1
Direct
0.000 0.000 0.000
0.750 0.750 0.750
0.500 0.500 0.500
0.250 0.250 0.250

=====

2.
Sr2TeIr PBE-GGA optimized geometry; space-group type = F-43m (216); magnetization = 0.002 μB/f.u.; energy = -3.993 eV per atom
1.0
1.247 -2.902 4.227
1.139 2.362 4.579
-3.363 -0.340 4.052
Te Sr Ir
1 2 1
Direct
0.750 0.750 0.750
0.000 0.000 0.000
0.250 0.250 0.250
0.500 0.500 0.500

=====

3.
SrTe2Ir PBE-GGA optimized geometry; space-group type = F-43m (216); magnetization = 0.027 μB/f.u.; energy = -4.002 eV per atom
1.0
0.000 3.716 3.716
3.716 0.000 3.716
3.716 3.716 0.000
Te Ir Sr
2 1 1
Direct
0.000 0.000 0.000
0.250 0.250 0.250
0.500 0.500 0.500
0.750 0.750 0.750